VASP calculation (PBE) on BaH2I after structural relaxation.

energy above the most stable polymorph in this dataset: 1.59 kcal/mol of atoms
VASP energy: -27.1 eV for the cell shown

Cell and atoms, written as CIF:
```
data_BaH2I
_cell_length_a 4.869
_cell_length_b 4.781
_cell_length_c 8.866
_cell_angle_alpha 90.00
_cell_angle_beta 100.00
_cell_angle_gamma 90.00
_symmetry_space_group_name_H-M 'P 1 m 1'
_symmetry_Int_Tables_number 6
_symmetry_space_group_name_Hall 'P -2y'
loop_
_atom_site_label
_atom_site_type_symbol
_atom_site_fract_x
_atom_site_fract_y
_atom_site_fract_z
_atom_site_occupancy
Ba1 Ba 0.000 0.000 0.000 1
Ba2 Ba 0.402 0.500 0.687 1
H1 H 0.459 0.000 0.869 1
H2 H 0.599 0.500 0.057 1
H3 H 0.697 0.500 0.997 1
H4 H 0.988 0.500 0.860 1
I1 I 0.274 0.500 0.274 1
I2 I 0.866 0.000 0.570 1
```